(1)
Here is an optimized crystal structure of SrCdAs2 from Alexandria. Energies are from PBE.

```
4
Lattice="4.559 0.000 0.000 0.000 4.176 0.000 -0.480 0.000 6.039" Properties=species:S:1:pos:R:3 pbc="T T T"
Sr 0.000 0.000 0.000
Cd 2.040 0.000 3.019
As 1.598 2.088 4.783
As 2.481 2.088 1.256
```

Crystal system: monoclinic
Space group: P2/m
Density (g/cm3): 5.1
Total moment (Bohr magnetons per cell): 0.0

(2)
Here is an optimized crystal structure of SrCdAs2 from Alexandria. Energies are from PBE.

```
4
Lattice="4.743 -2.254 0.000 4.743 2.254 0.000 -2.197 0.000 5.005" Properties=species:S:1:pos:R:3 pbc="T T T"
Sr 0.000 0.000 0.000
Cd 3.644 0.000 2.503
As 0.880 0.000 3.173
As 6.408 0.000 1.832
```

Crystal system: monoclinic
Space group: C2/m
Density (g/cm3): 5.4
Total moment (Bohr magnetons per cell): 0.0

It is found that the energy of formation values, taken in the order of the records, are -489, -382 meV/atom.